[1]
# Ho3Nb3W2N12

A relaxed structure of Ho3Nb3W2N12 (PBE, OQMD).

Cell: 11.064 11.064 11.064 Å, 109.47 109.47 109.47°
Atoms (fractional coordinates):
Ho 0.250 0.375 0.125
Ho 0.375 0.750 0.125
Ho 0.375 0.125 0.250
Ho 0.875 0.625 0.250
Ho 0.750 0.125 0.375
Ho 0.125 0.250 0.375
Ho 0.875 0.750 0.625
Ho 0.250 0.875 0.625
Ho 0.125 0.375 0.750
Ho 0.625 0.875 0.750
Ho 0.625 0.250 0.875
Ho 0.750 0.625 0.875
N 0.201 0.118 0.026
N 0.325 0.908 0.026
N 0.882 0.408 0.083
N 0.701 0.675 0.083
N 0.618 0.417 0.092
N 0.974 0.675 0.092
N 0.026 0.201 0.118
N 0.592 0.917 0.118
N 0.201 0.583 0.175
N 0.474 0.592 0.175
N 0.118 0.026 0.201
N 0.583 0.175 0.201
N 0.474 0.382 0.299
N 0.325 0.917 0.299
N 0.908 0.026 0.325
N 0.917 0.299 0.325
N 0.299 0.474 0.382
N 0.583 0.908 0.382
N 0.825 0.526 0.408
N 0.083 0.882 0.408
N 0.092 0.618 0.417
N 0.825 0.799 0.417
N 0.592 0.175 0.474
N 0.382 0.299 0.474
N 0.618 0.701 0.526
N 0.408 0.825 0.526
N 0.175 0.201 0.583
N 0.908 0.382 0.583
N 0.917 0.118 0.592
N 0.175 0.474 0.592
N 0.417 0.092 0.618
N 0.701 0.526 0.618
N 0.083 0.701 0.675
N 0.092 0.974 0.675
N 0.675 0.083 0.701
N 0.526 0.618 0.701
N 0.417 0.825 0.799
N 0.882 0.974 0.799
N 0.526 0.408 0.825
N 0.799 0.417 0.825
N 0.408 0.083 0.882
N 0.974 0.799 0.882
N 0.026 0.325 0.908
N 0.382 0.583 0.908
N 0.299 0.325 0.917
N 0.118 0.592 0.917
N 0.675 0.092 0.974
N 0.799 0.882 0.974
Nb 0.875 0.250 0.125
Nb 0.750 0.875 0.125
Nb 0.625 0.375 0.250
Nb 0.125 0.875 0.250
Nb 0.250 0.625 0.375
Nb 0.625 0.750 0.375
Nb 0.375 0.250 0.625
Nb 0.750 0.375 0.625
Nb 0.875 0.125 0.750
Nb 0.375 0.625 0.750
Nb 0.250 0.125 0.875
Nb 0.125 0.750 0.875
W 0.000 0.000 0.000
W 0.500 0.000 0.000
W 0.000 0.500 0.000
W 0.500 0.500 0.000
W 0.000 0.000 0.500
W 0.500 0.000 0.500
W 0.000 0.500 0.500
W 0.500 0.500 0.500

DFT total energy (eV/atom): -9.39

***

[2]
# Li4Tb3Si

A relaxed structure of Li4Tb3Si (PBE, OQMD).

Cell: 7.017 7.017 7.017 Å, 133.48 133.48 67.90°
Atoms (fractional coordinates):
Li 0.204 0.204 0.000
Li 0.796 0.796 0.000
Li 0.500 0.000 0.500
Li 0.000 0.500 0.500
Si 0.000 0.000 0.000
Tb 0.500 0.500 0.000
Tb 0.750 0.250 0.500
Tb 0.250 0.750 0.500

DFT total energy (eV/atom): -2.88

***

[3]
# La2Pr2Br5N

A relaxed structure of La2Pr2Br5N (PBE, OQMD).

Cell: 9.377 9.377 8.425 Å, 103.79 103.79 24.34°
Atoms (fractional coordinates):
Br 0.829 0.829 0.178
Br 0.164 0.164 0.353
Br 0.500 0.500 0.500
Br 0.836 0.836 0.647
Br 0.171 0.171 0.822
La 0.641 0.641 0.077
La 0.359 0.359 0.923
N 0.500 0.500 0.000
Pr 0.999 0.999 0.203
Pr 0.001 0.001 0.797

DFT total energy (eV/atom): -5.27

***

[4]
# Ac2Er2O5

A relaxed structure of Ac2Er2O5 (PBE, OQMD).

Cell: 8.160 4.453 4.453 Å, 90.00 90.00 90.00°
Atoms (fractional coordinates):
Ac 0.228 0.500 0.500
Ac 0.772 0.500 0.500
Er 0.000 0.000 0.000
Er 0.500 0.000 0.000
O 0.309 0.500 0.000
O 0.691 0.500 0.000
O 0.309 0.000 0.500
O 0.691 0.000 0.500
O 0.500 0.500 0.500

DFT total energy (eV/atom): -6.72
E above lowest polymorph (meV/atom): 951.3

***

[5]
# CsHfO3

A relaxed structure of CsHfO3 (PBE, OQMD).

Cell: 4.219 4.219 4.282 Å, 90.00 90.00 90.00°
Atoms (fractional coordinates):
Cs 0.000 0.000 0.080
Hf 0.500 0.500 0.579
O 0.500 0.500 0.081
O 0.500 0.000 0.580
O 0.000 0.500 0.580

DFT total energy (eV/atom): -7.49

***

[6]
# SmCdPd

A relaxed structure of SmCdPd (PBE, OQMD).

Cell: 7.644 7.644 4.026 Å, 90.00 90.00 120.00°
Atoms (fractional coordinates):
Cd 0.254 0.000 0.000
Cd 0.000 0.254 0.000
Cd 0.746 0.746 0.000
Pd 0.667 0.333 0.000
Pd 0.333 0.667 0.000
Pd 0.000 0.000 0.500
Sm 0.593 0.000 0.500
Sm 0.407 0.407 0.500
Sm 0.000 0.593 0.500

DFT total energy (eV/atom): -4.29